VASP calculation (PBE) on a relaxed structure of SmEuMgIn. Values from VASP.

Output
Its formation energy is -0.301 eV per atom. As for the density of states at the Fermi level: 8.39 states/eV/f.u. The value obtained for the raw total energy is -5.132 eV/atom.

Geometry as Quantum ESPRESSO input:
```
&SYSTEM
  ibrav = 0, nat = 4, ntyp = 4
/
ATOMIC_SPECIES
Sm 150.36 Sm.upf
Eu 151.96 Eu.upf
In 114.82 In.upf
Mg 24.30 Mg.upf
ATOMIC_POSITIONS angstrom
Sm 0.000 0.000 0.000
Eu -6.242 -1.629 -1.947
In -9.364 -2.443 -2.921
Mg -3.121 -0.814 -0.974
CELL_PARAMETERS angstrom
-5.320 1.352 0.377
-3.323 -0.670 -4.334
-3.842 -3.939 0.062
```